No. 1
Material: BaCrPt2
Method: DFT, meta-GGA SCAN
State: PBEsol geometry

Computed properties:
- excess energy over the best structure of this formula in the dataset (meV/atom) = 0

a = 5.1621 Å, b = 5.1621 Å, c = 3.0771 Å
α = 90.00°, β = 90.00°, γ = 90.00°
Last column: nearest neighbours and their distance in Å.
Space group P4/mmm (No. 123)
Unique sites:
Ba  0.0000  0.0000  0.0000 (multiplicity 1)  8 Pt 3.00, 2 Ba 3.08
Cr  0.5000  0.5000  0.0000 (multiplicity 1)  8 Pt 3.00, 2 Cr 3.08
Pt  0.0000  0.5000  0.5000 (multiplicity 2)  4 Cr 3.00, 4 Ba 3.00, 2 Pt 3.08

---

No. 2
Material: Ba2CrPt
Method: DFT, meta-GGA SCAN
State: PBEsol geometry

Computed properties:
- excess energy over the best structure of this formula in the dataset (meV/atom) = 146

a = 5.3746 Å, b = 5.3746 Å, c = 4.0376 Å
α = 90.00°, β = 90.00°, γ = 90.00°
Last column: nearest neighbours and their distance in Å.
Space group P4/mmm (No. 123)
Unique sites:
Ba  0.0000  0.5000  0.0000 (multiplicity 2)  4 Cr 3.36, 4 Pt 3.36
Cr  0.0000  0.0000  0.5000 (multiplicity 1)  8 Ba 3.36
Pt  0.5000  0.5000  0.5000 (multiplicity 1)  8 Ba 3.36

---

No. 3
Material: BaCrPt2
Method: DFT, meta-GGA SCAN
State: PBEsol geometry

Computed properties:
- excess energy over the best structure of this formula in the dataset (meV/atom) = 108

a = 4.3078 Å, b = 4.3078 Å, c = 8.6168 Å
α = 90.00°, β = 90.00°, γ = 90.00°
Last column: nearest neighbours and their distance in Å.
Space group I-4m2 (No. 119)
Unique sites:
Ba  0.0000  0.0000  0.0000 (multiplicity 2)  8 Pt 3.05, 4 Cr 3.05
Cr  0.0000  0.5000  0.2500 (multiplicity 2)  8 Pt 3.05, 4 Ba 3.05
Pt  0.0000  0.0000  0.5000 (multiplicity 2)  4 Ba 3.05, 4 Cr 3.05, 4 Pt 3.05
Pt  0.0000  0.5000  0.7500 (multiplicity 2)  4 Cr 3.05, 4 Ba 3.05, 4 Pt 3.05

---

No. 4
Material: BaCrRe
Method: DFT, meta-GGA SCAN
State: PBEsol geometry

Computed properties:
- total energy (eV for the cell shown) = -253.34

a = 3.1427 Å, b = 3.1427 Å, c = 12.7116 Å
α = 90.00°, β = 90.00°, γ = 90.00°
Last column: nearest neighbours and their distance in Å.
Space group I4mm (No. 107)
Unique sites:
Ba  0.0000  0.0000  0.0000 (multiplicity 2)  4 Ba 3.14, 4 Re 3.47, 4 Cr 3.50
Cr  0.0000  0.0000  0.2869 (multiplicity 2)  4 Re 2.43
Re  0.0000  0.0000  0.7100 (multiplicity 2)  4 Cr 2.43

---

No. 5
Material: BaCr2Rh
Method: DFT, meta-GGA SCAN
State: PBEsol geometry

Computed properties:
- excess energy over the best structure of this formula in the dataset (meV/atom) = 0

a = 4.3895 Å, b = 4.3895 Å, c = 8.2748 Å
α = 90.00°, β = 90.00°, γ = 90.00°
Last column: nearest neighbours and their distance in Å.
Space group I4/mmm (No. 139)
Unique sites:
Ba  0.0000  0.0000  0.0000 (multiplicity 2)  8 Cr 3.02, 4 Rh 3.10
Cr  0.0000  0.5000  0.2500 (multiplicity 4)  4 Ba 3.02, 4 Rh 3.02, 4 Cr 3.10
Rh  0.0000  0.0000  0.5000 (multiplicity 2)  8 Cr 3.02, 4 Ba 3.10

---

No. 6
Material: Ba2CrRh
Method: DFT, meta-GGA SCAN
State: PBEsol geometry

Computed properties:
- excess energy over the best structure of this formula in the dataset (meV/atom) = 0

a = 3.5666 Å, b = 3.5666 Å, c = 9.2443 Å
α = 90.00°, β = 90.00°, γ = 90.00°
Last column: nearest neighbours and their distance in Å.
Space group P4mm (No. 99)
Unique sites:
Ba  0.0000  0.0000  0.0000 (multiplicity 1)  1 Cr 2.99
Ba  0.5000  0.5000  0.4151 (multiplicity 1)  1 Rh 2.99
Cr  0.0000  0.0000  0.6767 (multiplicity 1)  4 Rh 2.59
Rh  0.5000  0.5000  0.7386 (multiplicity 1)  4 Cr 2.59

---

No. 7
Material: Ba2Cr2Rh
Method: DFT, meta-GGA SCAN
State: PBEsol geometry

Computed properties:
- total energy (eV for the cell shown) = -289.62

a = 6.2348 Å, b = 6.2348 Å, c = 6.7138 Å
α = 90.00°, β = 90.00°, γ = 90.00°
Last column: nearest neighbours and their distance in Å.
Space group I4/mmm (No. 139)
Unique sites:
Ba  0.0000  0.5000  0.2500 (multiplicity 4)  4 Cr 3.22, 2 Ba 3.36, 4 Rh 3.54
Cr  0.0000  0.0000  0.1327 (multiplicity 4)  1 Cr 1.78
Rh  0.0000  0.0000  0.5000 (multiplicity 2)  2 Cr 2.47

---

No. 8
Material: BaCr2Rh
Method: DFT, meta-GGA SCAN
State: PBEsol geometry

Computed properties:
- excess energy over the best structure of this formula in the dataset (meV/atom) = 78

a = 2.9373 Å, b = 4.2399 Å, c = 6.4740 Å
α = 90.00°, β = 99.14°, γ = 90.00°
Last column: nearest neighbours and their distance in Å.
Space group P2/m (No. 10)
Unique sites:
Ba  0.0000  0.0000  0.0000 (multiplicity 1)  2 Ba 2.94, 2 Rh 3.24
Cr  0.4260  0.5000  0.6323 (multiplicity 2)  1 Cr 1.83
Rh  0.0000  0.0000  0.5000 (multiplicity 1)  4 Cr 2.54